Record 1
Below is a relaxed structure of PC7, with properties calculated at the GGA-PBE level. Values from VASP.

```
&SYSTEM
  ibrav = 0, nat = 8, ntyp = 2
/
ATOMIC_SPECIES
P 30.97 P.upf
C 12.01 C.upf
ATOMIC_POSITIONS angstrom
P 0.0000 0.0000 0.0000
C 1.5855 1.5855 0.0000
C 1.5855 0.0000 1.5855
C 3.1709 1.5855 1.5855
C 0.0000 1.5855 1.5855
C 1.5855 3.1709 1.5855
C 1.5855 1.5855 3.1709
C 3.1709 3.1709 3.1709
CELL_PARAMETERS angstrom
0.0000 3.1709 3.1709
3.1709 0.0000 3.1709
3.1709 3.1709 0.0000
```

Output
DFT formation energy: 4.041 eV/atom



Record 2
Below is a relaxed structure of NaCaSCl2, with properties calculated at the GGA-PBE level. Values from VASP.

```
&SYSTEM
  ibrav = 0, nat = 5, ntyp = 4
/
ATOMIC_SPECIES
Na 22.99 Na.upf
Ca 40.08 Ca.upf
S 32.06 S.upf
Cl 35.45 Cl.upf
ATOMIC_POSITIONS angstrom
Na 0.0000 0.0000 0.0000
Ca 2.6827 2.6827 2.7464
S 2.6827 2.6827 0.0000
Cl 0.0000 2.6827 2.7464
Cl 2.6827 0.0000 2.7464
CELL_PARAMETERS angstrom
5.3654 0.0000 0.0000
0.0000 5.3654 0.0000
0.0000 0.0000 5.4928
```

Output
Uncorrected formation energy: -1.3756 eV per atom
E above lowest polymorph: 0 meV per atom



Record 3
Below is a relaxed structure of AcAlZn4Ga2, with properties calculated at the GGA-PBE level. Values from VASP.

```
&SYSTEM
  ibrav = 0, nat = 8, ntyp = 4
/
ATOMIC_SPECIES
Ac 227.00 Ac.upf
Al 26.98 Al.upf
Zn 65.41 Zn.upf
Ga 69.72 Ga.upf
ATOMIC_POSITIONS angstrom
Ac 0.0000 0.0000 0.0000
Al 0.0000 0.0000 13.6845
Zn 0.0000 0.0000 3.6327
Zn 0.0000 0.0000 11.0710
Zn 0.0000 0.0000 16.2980
Zn 0.0000 0.0000 23.7362
Ga 0.0000 0.0000 6.7161
Ga 0.0000 0.0000 20.6528
CELL_PARAMETERS angstrom
2.2393 1.2928 9.1230
-2.2393 1.2928 9.1230
0.0000 -2.5857 9.1230
```

Output
DFT formation energy: -0.135 eV/atom



Record 4
Below is a relaxed structure of Nd5Tl2Te, with properties calculated at the GGA-PBE level. Values from VASP.

```
&SYSTEM
  ibrav = 0, nat = 16, ntyp = 3
/
ATOMIC_SPECIES
Nd 144.24 Nd.upf
Tl 204.38 Tl.upf
Te 127.60 Te.upf
ATOMIC_POSITIONS angstrom
Nd 2.9920 4.0604 10.6691
Nd 2.9920 4.0604 16.0239
Nd 2.9920 1.9061 4.4488
Nd 2.9920 0.8279 10.4435
Nd 2.9920 0.8279 16.2495
Nd 2.9920 -0.8279 1.5458
Nd 2.9920 -0.8279 7.3519
Nd 2.9920 -1.9061 13.3465
Nd 2.9920 -4.0604 1.7714
Nd 2.9920 -4.0604 7.1262
Tl 2.9920 2.4820 1.3017
Tl 2.9920 2.4820 7.5960
Tl 2.9920 -2.4820 10.1993
Tl 2.9920 -2.4820 16.4937
Te 2.9920 2.0315 13.3465
Te 2.9920 -2.0315 4.4488
CELL_PARAMETERS angstrom
2.9920 -4.8800 0.0000
2.9920 4.8800 0.0000
0.0000 0.0000 17.7953
```

Output
Uncorrected formation energy: -0.3806 eV per atom
E above lowest polymorph: 146 meV per atom